# 1
Li2Al: single point on PBEsol structure, meta-GGA SCAN.

Properties
Fermi-level density of states: 0.8 states/eV/f.u.
crystal system: monoclinic
ΔH_f (0 K): -123 meV per atom

a = 5.446 Å, b = 5.446 Å, c = 6.647 Å
α = 106.15°, β = 106.15°, γ = 30.96°
Positions (direct):
Li: 0.137 0.137 0.048
Li: 0.189 0.189 0.619
Li: 0.811 0.811 0.381
Li: 0.863 0.863 0.952
Al: 0.486 0.486 0.697
Al: 0.514 0.514 0.303

# 2
K3Hg: single point on PBEsol structure, meta-GGA SCAN.

Properties
Fermi-level density of states: 3.3 states/eV/f.u.
crystal system: hexagonal
ΔH_f (0 K): -94 meV per atom

a = 4.484 Å, b = 4.484 Å, c = 12.141 Å
α = 90.00°, β = 90.00°, γ = 120.00°
Positions (direct):
K: 0.000 0.000 0.000
K: 0.333 0.667 0.312
K: 0.333 0.667 0.688
Hg: 0.000 0.000 0.500

# 3
ZnAsS2Cl: single point on PBEsol structure, meta-GGA SCAN.

Properties
formation energy from raw total energies: 0.3628 eV per atom
Fermi-level density of states: 2.9 states/eV/f.u.
crystal system: tetragonal

a = 4.631 Å, b = 4.631 Å, c = 4.522 Å
α = 90.00°, β = 90.00°, γ = 90.00°
Positions (direct):
Zn: 0.000 0.000 0.000
As: 0.500 0.500 0.500
S: 0.000 0.500 0.000
S: 0.500 0.000 0.000
Cl: 0.000 0.000 0.500

# 4
Al3Pd5: single point on PBEsol structure, meta-GGA SCAN.

Properties
Fermi-level density of states: 2.6 states/eV/f.u.
crystal system: orthorhombic
ΔH_f (0 K): -960 meV per atom

a = 5.352 Å, b = 10.488 Å, c = 4.013 Å
α = 90.00°, β = 90.00°, γ = 90.00°
Positions (direct):
Al: 0.000 0.000 0.000
Al: 0.167 0.358 0.500
Al: 0.333 0.858 0.500
Al: 0.500 0.500 0.000
Al: 0.667 0.142 0.500
Al: 0.833 0.642 0.500
Pd: 0.000 0.500 0.000
Pd: 0.088 0.765 0.000
Pd: 0.189 0.106 0.500
Pd: 0.311 0.606 0.500
Pd: 0.412 0.265 0.000
Pd: 0.500 0.000 0.000
Pd: 0.588 0.735 0.000
Pd: 0.689 0.394 0.500
Pd: 0.811 0.894 0.500
Pd: 0.912 0.235 0.000

# 5
Zn24Cu5: single point on PBEsol structure, meta-GGA SCAN.

Properties
Fermi-level density of states: 7.2 states/eV/f.u.
crystal system: cubic
ΔH_f (0 K): 42 meV per atom

a = 8.015 Å, b = 8.015 Å, c = 8.015 Å
α = 109.47°, β = 109.47°, γ = 109.47°
Positions (direct):
Zn: 0.000 0.308 0.583
Zn: 0.000 0.583 0.308
Zn: 0.000 0.625 0.811
Zn: 0.000 0.811 0.625
Zn: 0.186 0.375 0.375
Zn: 0.189 0.189 0.814
Zn: 0.189 0.814 0.189
Zn: 0.276 0.692 0.692
Zn: 0.308 0.000 0.583
Zn: 0.308 0.583 0.000
Zn: 0.375 0.186 0.375
Zn: 0.375 0.375 0.186
Zn: 0.417 0.417 0.724
Zn: 0.417 0.724 0.417
Zn: 0.583 0.000 0.308
Zn: 0.583 0.308 0.000
Zn: 0.625 0.000 0.811
Zn: 0.625 0.811 0.000
Zn: 0.692 0.276 0.692
Zn: 0.692 0.692 0.276
Zn: 0.724 0.417 0.417
Zn: 0.811 0.000 0.625
Zn: 0.811 0.625 0.000
Zn: 0.814 0.189 0.189
Cu: 0.000 0.000 0.000
Cu: 0.000 0.000 0.331
Cu: 0.000 0.331 0.000
Cu: 0.331 0.000 0.000
Cu: 0.669 0.669 0.669

# 6
Mn2InTeP: single point on PBEsol structure, meta-GGA SCAN.

Properties
formation energy from raw total energies: -0.0254 eV per atom
Fermi-level density of states: 2.2 states/eV/f.u.
crystal system: tetragonal

a = 4.611 Å, b = 4.611 Å, c = 5.226 Å
α = 90.00°, β = 90.00°, γ = 90.00°
Positions (direct):
Mn: 0.000 0.500 0.000
Mn: 0.500 0.000 0.000
In: 0.000 0.000 0.500
Te: 0.500 0.500 0.500
P: 0.000 0.000 0.000

# 7
LaNi2Pb: single point on PBEsol structure, meta-GGA SCAN.

Properties
Fermi-level density of states: 4.0 states/eV/f.u.
crystal system: cubic
ΔH_f (0 K): 213 meV per atom

a = 4.819 Å, b = 4.819 Å, c = 4.819 Å
α = 60.00°, β = 60.00°, γ = 60.00°
Positions (direct):
La: 0.000 0.000 0.000
Ni: 0.250 0.250 0.250
Ni: 0.500 0.500 0.500
Pb: 0.750 0.750 0.750

# 8
MgAu3Br: single point on PBEsol structure, meta-GGA SCAN.

Properties
formation energy from raw total energies: 0.5565 eV per atom
Fermi-level density of states: 4.2 states/eV/f.u.
crystal system: cubic

a = 4.917 Å, b = 4.917 Å, c = 4.917 Å
α = 90.00°, β = 90.00°, γ = 90.00°
Positions (direct):
Mg: 0.000 0.000 0.000
Au: 0.000 0.000 0.500
Au: 0.000 0.500 0.000
Au: 0.500 0.000 0.000
Br: 0.500 0.500 0.500